Entry 1:
# CsCuSiP2

A relaxed structure of CsCuSiP2 (GGA-PBE, Alexandria).

Cell: 12.763 3.850 9.983 Å, 90.00 98.00 90.00°
Space group C2/m (No. 12)
Unique sites:
Cs1 0.149 0.000 0.155
Cu1 0.193 0.000 0.553
Si1 0.057 0.500 0.646
P1 0.115 0.000 0.768
P2 0.120 0.500 0.443

For the density of states at the Fermi level, the calculation gives 2.718 states/eV per cell. As for the calculated total energy: -22.45 eV/f.u. Its total magnetic moment is 0.0 μB per cell. Its formation energy (no corrections) is -24.2 kJ per mole of atoms.

Entry 2:
# HfTi2Ag2Se6

A relaxed structure of HfTi2Ag2Se6 (GGA-PBE, Alexandria).

Cell: 6.451 11.108 7.279 Å, 90.00 93.73 90.00°
Space group C2/m (No. 12)
Unique sites:
Hf1 0.000 0.000 0.000
Ti1 0.000 0.348 0.000
Ag1 0.000 0.131 0.500
Se1 0.181 0.500 0.223
Se2 0.189 0.175 0.205

For the density of states at the Fermi level, the calculation gives 11.335 states/eV per cell. As for the calculated total energy: -61.73 eV/f.u. Its total magnetic moment is 3.4 μB per cell. Its formation energy (no corrections) is -82.3 kJ per mole of atoms.

Entry 3:
# ZrNiRu

A relaxed structure of ZrNiRu (GGA-PBE, Alexandria).

Cell: 4.942 5.132 7.310 Å, 90.00 90.00 90.00°
Space group Imma (No. 74)
Unique sites:
Zr1 0.000 0.250 0.124
Ni1 0.250 0.250 0.750
Ru1 0.000 0.000 0.500

For the density of states at the Fermi level, the calculation gives 12.330 states/eV per cell. As for the calculated total energy: -24.81 eV/f.u. Its total magnetic moment is 0.0 μB per cell. As for the formation energy: -38.7 kJ per mole of atoms.

Entry 4:
# Mg4HgAu5

A relaxed structure of Mg4HgAu5 (GGA-PBE, Alexandria).

Cell: 3.363 3.363 16.390 Å, 90.00 90.00 90.00°
Space group P4/mmm (No. 123)
Unique sites:
Mg1 0.000 0.000 0.097
Mg2 0.000 0.000 0.294
Hg1 0.000 0.000 0.500
Au1 0.500 0.500 0.000
Au2 0.500 0.500 0.195
Au3 0.500 0.500 0.384

For the density of states at the Fermi level, the calculation gives 3.867 states/eV per cell. As for the calculated total energy: -27.88 eV/f.u. Its total magnetic moment is 0.0 μB per cell. As for the formation energy: -46.4 kJ per mole of atoms.

Entry 5:
# Y2ZrMnN

A relaxed structure of Y2ZrMnN (GGA-PBE, Alexandria).

Cell: 5.499 5.499 4.455 Å, 90.00 90.00 90.00°
Space group P4/mmm (No. 123)
Unique sites:
Y1 0.000 0.500 0.000
Zr1 0.000 0.000 0.000
Mn1 0.000 0.000 0.500
N1 0.500 0.500 0.500

For the density of states at the Fermi level, the calculation gives 6.713 states/eV per cell. As for the calculated total energy: -30.32 eV/f.u. Its total magnetic moment is 3.2 μB per cell. Its formation energy (no corrections) is 167.0 kJ per mole of atoms.

Entry 6:
# La2BPt

A relaxed structure of La2BPt (GGA-PBE, Alexandria).

Cell: 7.304 7.304 7.891 Å, 90.00 90.00 90.00°
Space group I-42d (No. 122)
Unique sites:
La1 0.220 0.250 0.125
B1 0.000 0.000 0.000
Pt1 0.000 0.000 0.500

For the density of states at the Fermi level, the calculation gives 17.625 states/eV per cell. As for the calculated total energy: -22.97 eV/f.u. Its total magnetic moment is 3.5 μB per cell. As for the formation energy: -9.5 kJ per mole of atoms.